KCaBi | PBEsol | relaxed

The structure belongs to space group P4/nmm (No. 129, origin choice 2); the cell edges are 5.3379, 5.3379 and 8.3690 Å and the angles 90.00°, 90.00° and 90.00°. The inequivalent atoms are K at (0.2500, 0.2500, 0.1356), Ca at (0.2500, 0.7500, 0.5000) and Bi at (0.2500, 0.2500, 0.7101).

The value obtained for the formation energy is -0.70 eV/atom. For the electronic total energy, the calculation gives -3.22 eV per atom.